The following is a DFT calculation (PBE-GGA) of Y4PHS2 after structural relaxation.

Computed properties:
- theoretical density (g/cm³) = 4.49
- DOS at the Fermi energy (states/eV per atom) = 0.51
- total energy (eV/atom) = -6.83
- spin magnetization (μB per atom) = 0.0000
- symmetry = Fmm2

Cell lengths 6.775, 5.489, 6.760 Å; angles 66.22, 47.85, 65.93 degrees
Positions (direct):
Y: 0.021 0.498 0.979
Y: 0.242 0.758 0.242
Y: 0.498 0.021 0.502
Y: 0.758 0.242 0.758
P: 0.999 0.999 0.001
H: 0.467 0.467 0.533
S: 0.250 0.250 0.250
S: 0.750 0.750 0.750